#A
TmCd2In | the Alexandria database | GGA-PBE | optimized geometry; ρ = 8919 kg/m³; crystal system = tetragonal
1.0
-2.6382 3.7796 0.7879
-3.3031 -2.6300 1.5564
1.7011 0.3215 4.1536
Cd Tm In
2 1 1
Direct
0.0000 0.0000 0.5000 Cd
0.0000 0.5000 0.0000 Cd
0.5000 0.5000 0.5000 Tm
0.5000 0.0000 0.0000 In

=====

#B
TmCd2In | the Alexandria database | GGA-PBE | optimized geometry; ρ = 8866 kg/m³; crystal system = cubic
1.0
5.1262 0.0000 0.0000
2.5631 4.4394 0.0000
2.5631 1.4798 4.1855
Cd Tm In
2 1 1
Direct
0.2500 0.2500 0.2500 Cd
0.7500 0.7500 0.7500 Cd
0.0000 0.0000 0.0000 Tm
0.5000 0.5000 0.5000 In

=====

Which of them is most stable? Easy: #A.

=====

#A
TmCd2In2 | the Alexandria database | GGA-PBE | optimized geometry; ρ = 8648 kg/m³; crystal system = orthorhombic
1.0
-3.5509 0.7539 2.6972
-0.1209 -4.3808 1.0654
9.0373 1.6122 7.6556
Tm Cd In
2 4 4
Direct
0.3541 0.2500 0.7083 Tm
0.6459 0.7500 0.2917 Tm
0.0480 0.7500 0.0960 Cd
0.4558 0.7500 0.9116 Cd
0.9520 0.2500 0.9040 Cd
0.5442 0.2500 0.0884 Cd
0.7490 0.2500 0.4980 In
0.2510 0.7500 0.5020 In
0.8566 0.7500 0.7133 In
0.1434 0.2500 0.2867 In

=====

#B
TmCd2In2 | the Alexandria database | GGA-PBE | optimized geometry; ρ = 7602 kg/m³; crystal system = hexagonal
1.0
5.0721 0.0000 0.0000
-2.5361 4.3926 0.0000
0.0000 0.0000 12.2235
Tm Cd In
2 4 4
Direct
0.0000 0.0000 0.2500 Tm
0.0000 0.0000 0.7500 Tm
0.3333 0.6667 0.6153 Cd
0.6667 0.3333 0.1154 Cd
0.6667 0.3333 0.3846 Cd
0.3333 0.6667 0.8846 Cd
0.6667 0.3333 0.7500 In
0.0000 0.0000 0.0000 In
0.0000 0.0000 0.5000 In
0.3333 0.6667 0.2500 In

=====

Which of them is most stable? Easy: #A.

=====

#A
Tm4Cd3In | the Alexandria database | GGA-PBE | optimized geometry; ρ = 9020 kg/m³; crystal system = orthorhombic
1.0
3.6044 0.0000 0.0000
0.0000 4.8353 0.0000
0.0000 0.0000 11.9123
Tm Cd In
4 3 1
Direct
0.5000 0.5000 0.3403 Tm
0.0000 0.5000 0.8363 Tm
0.0000 0.0000 0.1634 Tm
0.5000 0.0000 0.6611 Tm
0.0000 0.5000 0.5737 Cd
0.0000 0.0000 0.4261 Cd
0.5000 0.0000 0.9243 Cd
0.5000 0.5000 0.0748 In

=====

#B
Tm4Cd3In | the Alexandria database | GGA-PBE | optimized geometry; ρ = 9235 kg/m³; crystal system = tetragonal
1.0
-3.5540 -0.2326 -0.9899
0.1056 -3.6635 0.4817
-4.0602 1.7457 14.1674
Tm In Cd
4 1 3
Direct
0.0000 0.0000 0.8726 Tm
0.0000 0.0000 0.1274 Tm
0.0000 0.0000 0.3749 Tm
0.0000 0.0000 0.6251 Tm
0.5000 0.5000 0.0000 In
0.5000 0.5000 0.2521 Cd
0.5000 0.5000 0.5000 Cd
0.5000 0.5000 0.7479 Cd

=====

Which of them is most stable? Easy: #B.

=====

#A
Tm3CdIn3 | the Alexandria database | GGA-PBE | optimized geometry; ρ = 8698 kg/m³; crystal system = monoclinic
1.0
4.6429 0.0000 0.6994
2.2742 5.6237 0.6634
0.2426 0.3641 14.1499
Tm Cd In
6 2 6
Direct
0.5344 0.3116 0.6196 Tm
0.4656 0.6884 0.3804 Tm
0.2732 0.2375 0.2160 Tm
0.7268 0.7625 0.7840 Tm
0.4012 0.2768 0.9208 Tm
0.5988 0.7232 0.0792 Tm
0.7622 0.0920 0.3837 Cd
0.2378 0.9080 0.6163 Cd
0.8705 0.7063 0.5528 In
0.1295 0.2937 0.4472 In
0.1220 0.8278 0.9281 In
0.8780 0.1722 0.0719 In
0.9904 0.7897 0.2295 In
0.0096 0.2103 0.7705 In

=====

#B
Tm3CdIn3 | the Alexandria database | GGA-PBE | optimized geometry; ρ = 8922 kg/m³; crystal system = hexagonal
1.0
5.3432 0.0000 0.0000
0.0000 8.8047 0.0000
0.0000 -4.4023 7.6251
Tm Cd In
6 2 6
Direct
0.7500 0.6412 0.5433 Tm
0.7500 0.4567 0.0979 Tm
0.7500 0.9021 0.3588 Tm
0.2500 0.3588 0.4567 Tm
0.2500 0.5433 0.9021 Tm
0.2500 0.0979 0.6412 Tm
0.2500 0.6667 0.3333 Cd
0.7500 0.3333 0.6667 Cd
0.2500 0.8094 0.7618 In
0.2500 0.2382 0.0476 In
0.2500 0.9524 0.1906 In
0.7500 0.1906 0.2382 In
0.7500 0.7618 0.9524 In
0.7500 0.0476 0.8094 In

=====

Which of them is most stable? Easy: #A.